Below is a relaxed structure of Mg2SbRu, with properties calculated at the GGA-PBE level.

The space group is I4/mmm (No. 139) and the conventional cell measures 4.031, 4.031 and 8.921 Å, with angles of 90.00, 90.00 and 90.00 degrees. The distinct sites, in fractional coordinates, are Mg at (0.000, 0.500, 0.250), Sb at (0.000, 0.000, 0.000) and Ru at (0.000, 0.000, 0.500).

The value obtained for the volume is 72 Å³/f.u.


Below is a relaxed structure of MgSbRu, with properties calculated at the GGA-PBE level.

The space group is Pmma (No. 51) and the conventional cell measures 6.223, 3.212 and 6.104 Å, with angles of 90.00, 90.00 and 90.00 degrees. The distinct sites, in fractional coordinates, are Mg at (0.250, 0.000, 0.233), Sb at (0.250, 0.000, 0.751) and Ru at (0.000, 0.500, 0.500).

The value obtained for the volume is 61 Å³/f.u.


Number 1: VASP energy -4.2132 eV/atom, total magnetization 0.0000 μB per atom. Number 2: VASP energy -5.2264 eV/atom, total magnetization 0.0000 μB per atom.